V3ZnCu after structural relaxation, computed with PBE.

Lattice parameters (Å, degrees): 4.4512 4.4512 4.4512 90.00 90.00 90.00
Last column: nearest neighbours and their distance in Å.
Element x y z (fractional)
V 0.0000 0.5000 0.0000  2 Zn 2.23
V 0.5000 0.0000 0.0000  2 Zn 2.23
V 0.0000 0.0000 0.5000  2 Zn 2.23
Cu 0.5000 0.5000 0.5000  12 V 3.15
Zn 0.0000 0.0000 0.0000  6 V 2.23

Values from the calculation:
Offset from the most stable computed form (eV per atom): 0.2920
Energy (eV per atom): -5.09

Ho12CdIn3 after structural relaxation, computed with PBE.

Lattice parameters (Å, degrees): 4.8228 4.8228 19.3007 90.00 90.00 90.00
Last column: nearest neighbours and their distance in Å.
Element x y z (fractional)
In 0.0000 0.0000 0.2499  12 Ho 3.41-3.42
In 0.0000 0.0000 0.5000  12 Ho 3.41
In 0.0000 0.0000 0.7501  12 Ho 3.41-3.42
Ho 0.5000 0.5000 0.0000  4 Cd 3.41, 8 Ho 3.41
Ho 0.5000 0.5000 0.2499  8 Ho 3.41-3.42, 4 In 3.41
Ho 0.5000 0.0000 0.6247  4 In 3.41-3.42, 8 Ho 3.41-3.42
Ho 0.0000 0.5000 0.8749  2 In 3.41, 8 Ho 3.41, 2 Cd 3.41
Ho 0.5000 0.0000 0.8749  2 In 3.41, 8 Ho 3.41, 2 Cd 3.41
Ho 0.5000 0.5000 0.5000  8 Ho 3.41, 4 In 3.41
Ho 0.5000 0.0000 0.1251  2 In 3.41, 8 Ho 3.41, 2 Cd 3.41
Ho 0.0000 0.5000 0.1251  2 In 3.41, 8 Ho 3.41, 2 Cd 3.41
Ho 0.5000 0.5000 0.7501  8 Ho 3.41-3.42, 4 In 3.41
Ho 0.0000 0.5000 0.6247  8 Ho 3.41-3.42, 4 In 3.41-3.42
Ho 0.5000 0.0000 0.3753  8 Ho 3.41-3.42, 4 In 3.41-3.42
Ho 0.0000 0.5000 0.3753  4 In 3.41-3.42, 8 Ho 3.41-3.42
Cd 0.0000 0.0000 0.0000  12 Ho 3.41

Values from the calculation:
Energy (eV per atom): -4.22

K3HfNb2O9 after structural relaxation, computed with PBE.

Lattice parameters (Å, degrees): 5.7934 5.7934 7.0985 90.00 90.00 120.00
Last column: nearest neighbours and their distance in Å.
Element x y z (fractional)
K 0.0000 0.0000 0.0000  12 O 2.89-2.90
K 0.3333 0.6667 0.6696  12 O 2.88-2.92
K 0.6667 0.3333 0.3304  12 O 2.88-2.92
Nb 0.6667 0.3333 0.8293  6 O 1.99-2.07
Nb 0.3333 0.6667 0.1707  6 O 1.99-2.07
O 0.5000 0.0000 0.0000  2 Nb 2.07
O 0.1697 0.3393 0.3288  1 Nb 1.99, 1 Hf 2.09
O 0.0000 0.5000 0.0000  2 Nb 2.07
O 0.8303 0.6607 0.6712  1 Nb 1.99, 1 Hf 2.09
O 0.5000 0.5000 0.0000  2 Nb 2.07
O 0.3393 0.1697 0.6712  1 Nb 1.99, 1 Hf 2.09
O 0.6607 0.8303 0.3288  1 Nb 1.99, 1 Hf 2.09
O 0.1697 0.8303 0.3288  1 Nb 1.99, 1 Hf 2.09
O 0.8303 0.1697 0.6712  1 Nb 1.99, 1 Hf 2.09
Hf 0.0000 0.0000 0.5000  6 O 2.09

Values from the calculation:
Energy (eV per atom): -7.68
Energy relative to the elements, uncorrected (eV per formula unit): -37.24

Tb2Nd5Dy12 after structural relaxation, computed with PBE.

Lattice parameters (Å, degrees): 9.1103 10.0237 8.6870 67.12 90.00 117.03
Last column: nearest neighbours and their distance in Å.
Element x y z (fractional)
Dy 0.3298 0.2911 0.0928  1 Tb 3.31, 4 Dy 3.32-3.58, 2 Nd 3.46-3.61
Dy 0.8473 0.2519 0.5456  2 Nd 3.19-3.53, 1 Dy 3.33
Dy 0.9612 0.2911 0.0928  1 Tb 3.31, 4 Dy 3.32-3.58, 2 Nd 3.46-3.61
Dy 0.0459 0.0918 0.8171  1 Dy 2.87, 2 Nd 3.11-3.20
Dy 0.5628 0.1256 0.2817  7 Dy 3.32-3.64, 2 Tb 3.48, 1 Nd 3.62
Dy 0.1527 0.7481 0.4544  2 Nd 3.19-3.53, 1 Dy 3.33
Dy 0.4372 0.8744 0.7183  7 Dy 3.32-3.64, 2 Tb 3.48, 1 Nd 3.62
Dy 0.0388 0.7089 0.9072  1 Tb 3.31, 4 Dy 3.32-3.58, 2 Nd 3.46-3.61
Dy 0.6702 0.7089 0.9072  1 Tb 3.31, 4 Dy 3.32-3.58, 2 Nd 3.46-3.61
Dy 0.4046 0.2519 0.5456  2 Nd 3.19-3.53, 1 Dy 3.33
Dy 0.9541 0.9082 0.1829  1 Dy 2.87, 2 Nd 3.11-3.20
Dy 0.5954 0.7481 0.4544  2 Nd 3.19-3.53, 1 Dy 3.33
Nd 0.2867 0.5733 0.2256  9 Dy 3.61-4.04, 2 Tb 3.78, 1 Nd 3.87
Nd 0.7133 0.4267 0.7744  9 Dy 3.61-4.04, 2 Tb 3.78, 1 Nd 3.87
Nd 0.0000 0.0000 0.5000  6 Dy 3.20-3.53
Nd 0.7631 0.5262 0.2939  5 Dy 3.11-3.46
Nd 0.2369 0.4738 0.7061  5 Dy 3.11-3.46
Tb 0.6726 0.0000 0.0000  1 Tb 3.14, 6 Dy 3.31-3.48
Tb 0.3274 0.0000 0.0000  1 Tb 3.14, 6 Dy 3.31-3.48

Values from the calculation:
Energy (eV per atom): -4.43

SiAs2IBr after structural relaxation, computed with PBE.

Lattice parameters (Å, degrees): 5.4538 5.4538 5.5023 90.00 90.00 90.00
Last column: nearest neighbours and their distance in Å.
Element x y z (fractional)
Br 0.0000 0.0000 0.5000  2 I 2.75
Si 0.5000 0.5000 0.5000  4 Br 3.86, 8 As 3.87
I 0.0000 0.0000 0.0000  4 As 2.73, 2 Br 2.75
As 0.0000 0.5000 0.0000  2 I 2.73
As 0.5000 0.0000 0.0000  2 I 2.73

Values from the calculation:
Offset from the most stable computed form (eV per atom): 0.8538
Energy (eV per atom): -2.24
Energy relative to the elements, uncorrected (eV per formula unit): 6.77

TiMo4W4 after structural relaxation, computed with PBE.

Lattice parameters (Å, degrees): 6.9116 6.9116 6.9116 93.02 93.02 153.48
Last column: nearest neighbours and their distance in Å.
Element x y z (fractional)
Ti 0.0000 0.0000 0.0000  8 Mo 2.76
Mo 0.6680 0.6680 0.3360  2 Mo 2.72, 4 W 2.74, 2 Ti 2.76
Mo 0.6680 0.3320 0.0000  2 Mo 2.72, 4 W 2.74, 2 Ti 2.76
Mo 0.3320 0.3320 0.6640  2 Mo 2.72, 4 W 2.74, 2 Ti 2.76
Mo 0.3320 0.6680 0.0000  2 Mo 2.72, 4 W 2.74, 2 Ti 2.76
W 0.0000 0.6679 0.6679  4 Mo 2.74, 4 W 2.76
W 0.3321 0.0000 0.3321  4 Mo 2.74, 4 W 2.76
W 0.6679 0.0000 0.6679  4 Mo 2.74, 4 W 2.76
W 0.0000 0.3321 0.3321  4 Mo 2.74, 4 W 2.76

Values from the calculation:
Offset from the most stable computed form (eV per atom): 0.0000
Energy (eV per atom): -11.56